DFT (GGA-PBE) results for a relaxed structure of La5TbGa6.

a b c (Å): 5.283 7.476 8.383
angles (deg): 90.00 108.22 90.00
Sites, in units of the cell vectors:
1 La 0.000 0.000 0.000
2 La 0.328 0.000 0.657
3 La 0.334 0.500 0.668
4 La 0.666 0.500 0.332
5 La 0.672 0.000 0.343
6 Tb 0.000 0.500 0.000
7 Ga 0.161 0.258 0.322
8 Ga 0.161 0.742 0.322
9 Ga 0.500 0.256 0.000
10 Ga 0.500 0.744 0.000
11 Ga 0.839 0.258 0.678
12 Ga 0.839 0.742 0.678

Values from the calculation:
- Raw total energy: -54.2 eV for the cell shown
- M_tot: 0.00 μB per formula unit
- N(E_F): 0.6240 states/eV per atom
- E_form: -0.568 eV/atom
- Calculated volume: 314.5 Å³ per cell


DFT (GGA-PBE) results for a relaxed structure of LaTb2Ga6.

a b c (Å): 7.814 7.814 7.814
angles (deg): 147.33 124.75 65.69
Sites, in units of the cell vectors:
1 La 0.000 0.000 0.000
2 Tb 0.373 0.873 0.500
3 Tb 0.627 0.127 0.500
4 Ga 0.013 0.316 0.697
5 Ga 0.321 0.500 0.821
6 Ga 0.381 0.684 0.697
7 Ga 0.619 0.316 0.303
8 Ga 0.679 0.500 0.179
9 Ga 0.987 0.684 0.303

Values from the calculation:
- Raw total energy: -36.9 eV for the cell shown
- M_tot: 0.00 μB per formula unit
- Relative energy among the computed polymorphs: 153 meV per atom
- N(E_F): 0.4234 states/eV per atom
- E_form: -0.506 eV/atom
- Calculated volume: 209.1 Å³ per cell


DFT (GGA-PBE) results for a relaxed structure of La2Tb3Ga4.

a b c (Å): 8.102 8.106 7.697
angles (deg): 90.00 106.62 90.00
Sites, in units of the cell vectors:
1 La 0.191 0.180 0.074
2 La 0.191 0.320 0.574
3 La 0.809 0.680 0.426
4 La 0.809 0.820 0.926
5 Tb 0.241 0.675 0.251
6 Tb 0.241 0.825 0.751
7 Tb 0.500 0.000 0.500
8 Tb 0.500 0.500 0.000
9 Tb 0.759 0.175 0.249
10 Tb 0.759 0.325 0.749
11 Ga 0.080 0.533 0.871
12 Ga 0.080 0.967 0.371
13 Ga 0.496 0.117 0.878
14 Ga 0.496 0.383 0.378
15 Ga 0.504 0.617 0.622
16 Ga 0.504 0.883 0.122
17 Ga 0.920 0.033 0.629
18 Ga 0.920 0.467 0.129

Values from the calculation:
- Raw total energy: -82.0 eV for the cell shown
- M_tot: 0.00 μB per formula unit
- Relative energy among the computed polymorphs: 0 meV per atom
- N(E_F): 0.9756 states/eV per atom
- E_form: -0.573 eV/atom
- Calculated volume: 484.4 Å³ per cell


DFT (GGA-PBE) results for a relaxed structure of LaTbGa.

a b c (Å): 4.998 4.998 3.908
angles (deg): 90.00 90.00 120.00
Sites, in units of the cell vectors:
1 La 0.000 0.000 0.000
2 Tb 0.667 0.333 0.566
3 Ga 0.333 0.667 0.379

Values from the calculation:
- Raw total energy: -13.4 eV for the cell shown
- M_tot: 0.00 μB per formula unit
- Relative energy among the computed polymorphs: 106 meV per atom
- N(E_F): 1.0411 states/eV per atom
- E_form: -0.279 eV/atom
- Calculated volume: 84.6 Å³ per cell


DFT (GGA-PBE) results for a relaxed structure of LaTbGa.

a b c (Å): 5.065 5.065 8.107
angles (deg): 107.99 107.99 60.14
Sites, in units of the cell vectors:
1 La 0.204 0.204 0.107
2 La 0.796 0.796 0.893
3 Tb 0.370 0.370 0.612
4 Tb 0.630 0.630 0.388
5 Ga 0.058 0.058 0.679
6 Ga 0.942 0.942 0.321

Values from the calculation:
- Raw total energy: -27.3 eV for the cell shown
- M_tot: 0.00 μB per formula unit
- Relative energy among the computed polymorphs: 33 meV per atom
- N(E_F): 0.7273 states/eV per atom
- E_form: -0.352 eV/atom
- Calculated volume: 168.5 Å³ per cell


DFT (GGA-PBE) results for a relaxed structure of LaTbGa2.

a b c (Å): 4.181 6.073 6.073
angles (deg): 42.99 90.00 90.00
Sites, in units of the cell vectors:
1 La 0.000 0.000 0.000
2 Tb 0.500 0.722 0.722
3 Ga 0.000 0.282 0.282
4 Ga 0.500 0.424 0.424

Values from the calculation:
- Raw total energy: -18.0 eV for the cell shown
- M_tot: 0.00 μB per formula unit
- Relative energy among the computed polymorphs: 0 meV per atom
- N(E_F): 0.8789 states/eV per atom
- E_form: -0.597 eV/atom
- Calculated volume: 105.2 Å³ per cell


DFT (GGA-PBE) results for a relaxed structure of La2TbGa2.

a b c (Å): 6.518 6.518 11.299
angles (deg): 117.92 117.92 43.42
Sites, in units of the cell vectors:
1 La 0.022 0.022 0.182
2 La 0.189 0.189 0.602
3 La 0.811 0.811 0.398
4 La 0.978 0.978 0.818
5 Tb 0.296 0.296 0.143
6 Tb 0.704 0.704 0.857
7 Ga 0.373 0.373 0.926
8 Ga 0.459 0.459 0.589
9 Ga 0.541 0.541 0.411
10 Ga 0.627 0.627 0.074

Values from the calculation:
- Raw total energy: -45.8 eV for the cell shown
- M_tot: 0.00 μB per formula unit
- Relative energy among the computed polymorphs: 3 meV per atom
- N(E_F): 0.7639 states/eV per atom
- E_form: -0.471 eV/atom
- Calculated volume: 285.0 Å³ per cell


DFT (GGA-PBE) results for a relaxed structure of La2TbGa.

a b c (Å): 4.804 4.804 5.001
angles (deg): 90.00 90.00 90.00
Sites, in units of the cell vectors:
1 La 0.000 0.500 0.000
2 La 0.500 0.000 0.000
3 Tb 0.000 0.000 0.500
4 Ga 0.500 0.500 0.500

Values from the calculation:
- Raw total energy: -18.5 eV for the cell shown
- M_tot: 0.00 μB per formula unit
- Relative energy among the computed polymorphs: 15 meV per atom
- N(E_F): 1.4107 states/eV per atom
- E_form: -0.242 eV/atom
- Calculated volume: 115.4 Å³ per cell